DFT (GGA-PBE) results for a relaxed Na3NpO6 crystal.

Lattice parameters (Å, degrees): 11.744 10.895 5.977 82.72 66.96 30.32
Site moments in Bohr magnetons follow the coordinates.
Atoms (fractional coordinates):
O1 0.043 0.061 0.655  0.29
O2 0.319 0.790 0.909  0.21
O3 0.655 0.241 0.043  0.29
O4 0.909 0.982 0.319  0.21
O5 0.905 0.491 0.567  0.25
O6 0.460 0.931 0.268  0.21
O7 0.567 0.037 0.905  0.25
O8 0.268 0.341 0.460  0.21
O9 0.759 0.345 0.213  0.25
O10 0.213 0.683 0.759  0.25
O11 0.189 0.207 0.009  0.29
O12 0.009 0.595 0.189  0.29
Na1 0.408 0.774 0.205  0.00
Na2 0.637 0.045 0.476  0.00
Na3 0.205 0.613 0.408  0.00
Na4 0.476 0.842 0.637  0.00
Na5 0.656 0.344 0.656  0.00
Na6 0.906 0.594 0.906  0.00
Np1 0.233 0.267 0.233  0.23
Np2 0.983 0.017 0.983  0.23

## Properties
Volume, A^3/atom: 15.82
Density of states at the Fermi level, states/eV/atom: 0.667
Space-group type: Fdd2 (43)
ΔE to the lowest computed polymorph, meV per atom: 163
Calculated total energy, eV per atom: -6.45